No. 1
Here is crystalline CdGa2NiPb at its relaxed geometry from Alexandria. Energies are from PBE-GGA.

magnetization	0.000	μB per atom
ΔE_f	0.0132	eV per atom

CIF file:
```
data_CdGa2NiPb
_chemical_formula_sum 'Cd1 Ga2 Ni1 Pb1'
_cell_length_a 4.606
_cell_length_b 4.606
_cell_length_c 5.411
_cell_angle_alpha 90.00
_cell_angle_beta 90.00
_cell_angle_gamma 90.00
_space_group_name_H-M_alt 'P 4/m m m'
_space_group_IT_number 123
_space_group_name_Hall '-P 4 2'
loop_
_atom_site_label
_atom_site_type_symbol
_atom_site_fract_x
_atom_site_fract_y
_atom_site_fract_z
_atom_site_occupancy
Cd1 Cd 0.000 0.000 0.000 1
Ga1 Ga 0.000 0.500 0.500 1
Ni1 Ni 0.500 0.500 0.500 1
Pb1 Pb 0.500 0.500 0.000 1
```

***

No. 2
Here is crystalline PmCdGaNi at its relaxed geometry from Alexandria. Energies are from PBE-GGA.

magnetization	0.000	μB per atom
ΔE_f	-0.2768	eV per atom

CIF file:
```
data_PmCdGaNi
_chemical_formula_sum 'Pm4 Cd4 Ga4 Ni4'
_cell_length_a 6.800
_cell_length_b 6.800
_cell_length_c 6.800
_cell_angle_alpha 90.00
_cell_angle_beta 90.00
_cell_angle_gamma 90.00
_space_group_name_H-M_alt 'F -4 3 m'
_space_group_IT_number 216
_space_group_name_Hall 'F -4 2 3'
loop_
_atom_site_label
_atom_site_type_symbol
_atom_site_fract_x
_atom_site_fract_y
_atom_site_fract_z
_atom_site_occupancy
Pm1 Pm 0.000 0.000 0.000 1
Cd1 Cd 0.000 0.000 0.500 1
Ga1 Ga 0.250 0.250 0.250 1
Ni1 Ni 0.250 0.250 0.750 1
```

***

No. 3
Here is crystalline Pm2CdGa4Ni3 at its relaxed geometry from Alexandria. Energies are from PBE-GGA.

magnetization	0.000	μB per atom
ΔE_f	-0.5004	eV per atom

CIF file:
```
data_Pm2CdGa4Ni3
_chemical_formula_sum 'Pm2 Cd1 Ga4 Ni3'
_cell_length_a 4.169
_cell_length_b 4.169
_cell_length_c 10.483
_cell_angle_alpha 90.00
_cell_angle_beta 90.00
_cell_angle_gamma 90.00
_space_group_name_H-M_alt 'P -4 m 2'
_space_group_IT_number 115
_space_group_name_Hall 'P -4 -2'
loop_
_atom_site_label
_atom_site_type_symbol
_atom_site_fract_x
_atom_site_fract_y
_atom_site_fract_z
_atom_site_occupancy
Pm1 Pm 0.000 0.500 0.232 1
Cd1 Cd 0.000 0.000 0.500 1
Ga1 Ga 0.000 0.000 0.000 1
Ga2 Ga 0.000 0.500 0.653 1
Ga3 Ga 0.500 0.500 0.000 1
Ni1 Ni 0.000 0.500 0.877 1
Ni2 Ni 0.500 0.500 0.500 1
```

***

No. 4
Here is crystalline Pr2CdGa3Ni4 at its relaxed geometry from Alexandria. Energies are from PBE-GGA.

magnetization	0.000	μB per atom
ΔE_f	-0.4419	eV per atom

CIF file:
```
data_Pr2CdGa3Ni4
_chemical_formula_sum 'Pr2 Cd1 Ga3 Ni4'
_cell_length_a 4.249
_cell_length_b 4.249
_cell_length_c 10.022
_cell_angle_alpha 90.00
_cell_angle_beta 90.00
_cell_angle_gamma 90.00
_space_group_name_H-M_alt 'P -4 m 2'
_space_group_IT_number 115
_space_group_name_Hall 'P -4 -2'
loop_
_atom_site_label
_atom_site_type_symbol
_atom_site_fract_x
_atom_site_fract_y
_atom_site_fract_z
_atom_site_occupancy
Pr1 Pr 0.000 0.500 0.236 1
Cd1 Cd 0.000 0.000 0.500 1
Ga1 Ga 0.000 0.500 0.885 1
Ga2 Ga 0.500 0.500 0.500 1
Ni1 Ni 0.000 0.000 0.000 1
Ni2 Ni 0.000 0.500 0.646 1
Ni3 Ni 0.500 0.500 0.000 1
```

***

No. 5
Here is crystalline CdGaNiPt at its relaxed geometry from Alexandria. Energies are from PBE-GGA.

magnetization	0.000	μB per atom
ΔE_f	-0.2337	eV per atom

CIF file:
```
data_CdGaNiPt
_chemical_formula_sum 'Cd4 Ga4 Ni4 Pt4'
_cell_length_a 6.268
_cell_length_b 6.268
_cell_length_c 6.268
_cell_angle_alpha 90.00
_cell_angle_beta 90.00
_cell_angle_gamma 90.00
_space_group_name_H-M_alt 'F -4 3 m'
_space_group_IT_number 216
_space_group_name_Hall 'F -4 2 3'
loop_
_atom_site_label
_atom_site_type_symbol
_atom_site_fract_x
_atom_site_fract_y
_atom_site_fract_z
_atom_site_occupancy
Cd1 Cd 0.000 0.000 0.000 1
Ga1 Ga 0.000 0.000 0.500 1
Ni1 Ni 0.250 0.250 0.250 1
Pt1 Pt 0.250 0.250 0.750 1
```

***

No. 6
Here is crystalline Cd2Ga2NiPt5 at its relaxed geometry from Alexandria. Energies are from PBE-GGA.

magnetization	0.051	μB per atom
ΔE_f	-0.2926	eV per atom

CIF file:
```
data_Cd2Ga2NiPt5
_chemical_formula_sum 'Cd4 Ga4 Ni2 Pt10'
_cell_length_a 9.425
_cell_length_b 9.425
_cell_length_c 3.723
_cell_angle_alpha 90.00
_cell_angle_beta 90.00
_cell_angle_gamma 90.00
_space_group_name_H-M_alt 'P 4/m b m'
_space_group_IT_number 127
_space_group_name_Hall '-P 4 2ab'
loop_
_atom_site_label
_atom_site_type_symbol
_atom_site_fract_x
_atom_site_fract_y
_atom_site_fract_z
_atom_site_occupancy
Cd1 Cd 0.171 0.329 0.000 1
Ga1 Ga 0.131 0.631 0.000 1
Ni1 Ni 0.000 0.000 0.000 1
Pt1 Pt 0.000 0.500 0.500 1
Pt2 Pt 0.073 0.806 0.500 1
```